SCAN ScCu4Ag, PBEsol geometry; total magnetic moment = 0.00 μB per formula unit; calculated total energy = -107.81 eV/cell; formation energy from the elements = -23 kJ/mol of atoms; space group = F-43m
1.0
0.000 3.440 3.440
3.440 0.000 3.440
3.440 3.440 0.000
Sc Cu Ag
1 4 1
direct
0.000 0.000 0.000
0.375 0.375 0.375
0.375 0.375 0.874
0.375 0.874 0.375
0.874 0.375 0.375
0.750 0.750 0.750